(1)
A relaxed Tb2Ho2GaRh4 crystal, computed with PBE.

Output
energy of formation from the pure elements	-49.9	kJ per mole of atoms

Structure (CIF):
```
data_Tb2Ho2GaRh4
_chemical_formula_sum 'Tb2 Ho2 Ga1 Rh4'
_space_group_name_H-M_alt 'P 1'
_space_group_IT_number 1
_space_group_name_Hall 'P 1'
_cell_length_a 6.371
_cell_length_b 6.371
_cell_length_c 6.371
_cell_angle_alpha 117.54
_cell_angle_beta 117.54
_cell_angle_gamma 94.32
loop_
_atom_site_label
_atom_site_type_symbol
_atom_site_fract_x
_atom_site_fract_y
_atom_site_fract_z
Tb1 Tb 0.185 0.185 0.000
Tb2 Tb 0.815 0.815 0.000
Ho1 Ho 0.250 0.750 0.500
Ho2 Ho 0.750 0.250 0.500
Ga1 Ga 0.500 0.500 0.000
Rh1 Rh 0.241 0.241 0.483
Rh2 Rh 0.241 0.759 0.000
Rh3 Rh 0.759 0.241 0.000
Rh4 Rh 0.759 0.759 0.517
```

(2)
A relaxed Ho2TiGa2Rh5 crystal, computed with PBE.

Output
energy of formation from the pure elements	-78.9	kJ per mole of atoms

Structure (CIF):
```
data_Ho2TiGa2Rh5
_chemical_formula_sum 'Ho4 Ti2 Ga4 Rh10'
_space_group_name_H-M_alt 'P 1'
_space_group_IT_number 1
_space_group_name_Hall 'P 1'
_cell_length_a 9.877
_cell_length_b 9.877
_cell_length_c 3.465
_cell_angle_alpha 90.00
_cell_angle_beta 90.00
_cell_angle_gamma 90.00
loop_
_atom_site_label
_atom_site_type_symbol
_atom_site_fract_x
_atom_site_fract_y
_atom_site_fract_z
Ho1 Ho 0.172 0.328 0.000
Ho2 Ho 0.328 0.828 0.000
Ho3 Ho 0.672 0.172 0.000
Ho4 Ho 0.828 0.672 0.000
Ti1 Ti 0.000 0.000 0.000
Ti2 Ti 0.500 0.500 0.000
Ga1 Ga 0.127 0.627 0.000
Ga2 Ga 0.373 0.127 0.000
Ga3 Ga 0.627 0.873 0.000
Ga4 Ga 0.873 0.373 0.000
Rh1 Rh 0.000 0.500 0.500
Rh2 Rh 0.066 0.800 0.500
Rh3 Rh 0.200 0.066 0.500
Rh4 Rh 0.300 0.566 0.500
Rh5 Rh 0.434 0.300 0.500
Rh6 Rh 0.500 0.000 0.500
Rh7 Rh 0.566 0.700 0.500
Rh8 Rh 0.700 0.434 0.500
Rh9 Rh 0.800 0.934 0.500
Rh10 Rh 0.934 0.200 0.500
```

(3)
A relaxed HoTmGaRh crystal, computed with PBE.

Output
energy of formation from the pure elements	-73.0	kJ per mole of atoms

Structure (CIF):
```
data_HoTmGaRh
_chemical_formula_sum 'Ho1 Tm1 Ga1 Rh1'
_space_group_name_H-M_alt 'P 1'
_space_group_IT_number 1
_space_group_name_Hall 'P 1'
_cell_length_a 4.324
_cell_length_b 5.637
_cell_length_c 5.637
_cell_angle_alpha 39.67
_cell_angle_beta 90.00
_cell_angle_gamma 90.00
loop_
_atom_site_label
_atom_site_type_symbol
_atom_site_fract_x
_atom_site_fract_y
_atom_site_fract_z
Ho1 Ho 0.000 0.000 0.000
Tm1 Tm 0.500 0.717 0.717
Ga1 Ga 0.000 0.285 0.285
Rh1 Rh 0.500 0.432 0.432
```

(4)
A relaxed HoTmGaRh crystal, computed with PBE.

Output
energy of formation from the pure elements	-69.1	kJ per mole of atoms

Structure (CIF):
```
data_HoTmGaRh
_chemical_formula_sum 'Ho1 Tm1 Ga1 Rh1'
_space_group_name_H-M_alt 'P 1'
_space_group_IT_number 1
_space_group_name_Hall 'P 1'
_cell_length_a 4.917
_cell_length_b 4.917
_cell_length_c 4.917
_cell_angle_alpha 60.00
_cell_angle_beta 60.00
_cell_angle_gamma 60.00
loop_
_atom_site_label
_atom_site_type_symbol
_atom_site_fract_x
_atom_site_fract_y
_atom_site_fract_z
Ho1 Ho 0.000 0.000 0.000
Tm1 Tm 0.500 0.500 0.500
Ga1 Ga 0.750 0.750 0.750
Rh1 Rh 0.250 0.250 0.250
```